This record from Alexandria describes a relaxed AcPuCo2O8 crystal. The functional is GGA+U. Values from VASP.

Calculated values
- Calculated total energy: -7.462 eV per atom
- Total moment: 3.00 μB per formula unit
- Mass density: 7.0 g/cm3

Cell and atoms, written as Quantum ESPRESSO input:
```
&SYSTEM
  ibrav = 0, nat = 12, ntyp = 4
/
ATOMIC_SPECIES
Ac 227.00 Ac.upf
Pu 244.00 Pu.upf
Co 58.93 Co.upf
O 16.00 O.upf
CELL_PARAMETERS angstrom
6.057 0.186 0.000
-2.520 5.511 0.000
-1.769 -2.848 5.048
ATOMIC_POSITIONS angstrom
Ac 0.000 0.000 0.000
Pu -1.260 2.755 2.524
Co 3.028 0.093 2.524
Co 1.769 2.848 0.000
O 1.654 -0.544 1.692
O 0.192 2.373 1.089
O 0.273 -1.624 3.959
O 3.068 -1.422 3.356
O 3.345 3.323 1.089
O 4.403 0.729 1.692
O 2.989 1.607 3.356
O -0.273 1.624 3.959
```